1.
This record from the Alexandria database describes a relaxed structure of RbBaRuO6. The functional is PBE.

Values from the calculation:
- symmetry = P1, No. 1
- calculated total energy (eV/atom) = -5.77

POSCAR file:
```
RbBaRuO6
1.0
5.1748 0.0000 0.0000
0.0843 6.2189 0.0000
0.0412 3.1087 5.4229
Rb Ba Ru O
1 1 1 6
Direct
0.0000 0.0000 0.0000
0.5003 0.6697 0.6607
0.0005 0.3228 0.3543
0.1829 0.5576 0.0522
0.1983 0.0659 0.3664
0.2346 0.3590 0.5493
0.7664 0.0917 0.5488
0.8027 0.5676 0.3667
0.8191 0.3911 0.0516
```

---

2.
This record from the Alexandria database describes a relaxed structure of RbBa4Ru3O12. The functional is PBE.

Values from the calculation:
- DOS at the Fermi energy (states/eV per cell) = 16.178
- symmetry = Im-3m, No. 229
- calculated total energy (eV/atom) = -6.39

POSCAR file:
```
RbBa4Ru3O12
1.0
-4.2455 4.2455 4.2455
4.2455 -4.2455 4.2455
4.2455 4.2455 -4.2455
Rb Ba Ru O
1 4 3 12
Direct
0.0000 0.0000 0.0000
0.0000 0.0000 0.5000
0.0000 0.5000 0.0000
0.5000 0.0000 0.0000
0.5000 0.5000 0.5000
0.0000 0.5000 0.5000
0.5000 0.0000 0.5000
0.5000 0.5000 0.0000
0.0000 0.2842 0.2842
0.0000 0.7158 0.7158
0.2500 0.5000 0.7500
0.2500 0.7500 0.5000
0.2842 0.0000 0.2842
0.2842 0.2842 0.0000
0.5000 0.2500 0.7500
0.5000 0.7500 0.2500
0.7158 0.0000 0.7158
0.7158 0.7158 0.0000
0.7500 0.2500 0.5000
0.7500 0.5000 0.2500
```

---

3.
This record from the Alexandria database describes a relaxed structure of Rb2Ba2RuO6. The functional is PBE.

Values from the calculation:
- DOS at the Fermi energy (states/eV per cell) = 7.785
- symmetry = C2/m, No. 12
- calculated total energy (eV/atom) = -5.71

POSCAR file:
```
Rb2Ba2RuO6
1.0
3.2515 -5.4472 0.0000
3.2515 5.4472 0.0000
-1.6401 0.0000 6.6169
Rb Ba Ru O
2 2 1 6
Direct
0.1546 0.8454 0.0000
0.8454 0.1546 0.0000
0.3381 0.6619 0.5000
0.6619 0.3381 0.5000
0.0000 0.0000 0.5000
0.0416 0.3025 0.6652
0.2000 0.2000 0.3208
0.3025 0.0416 0.6652
0.6975 0.9584 0.3348
0.8000 0.8000 0.6792
0.9584 0.6975 0.3348
```